1.
Computed, not measured: a relaxed TbGd2Ta2N6 crystal at the GGA-PBE level of DFT.

Structure (CIF):
```
data_TbGd2Ta2N6
_cell_length_a 4.0011
_cell_length_b 4.0011
_cell_length_c 19.0726
_cell_angle_alpha 90.00
_cell_angle_beta 90.00
_cell_angle_gamma 90.00
_symmetry_space_group_name_H-M 'I 4/m m m'
_symmetry_Int_Tables_number 139
_symmetry_space_group_name_Hall '-I 4 2'
loop_
_atom_site_label
_atom_site_type_symbol
_atom_site_fract_x
_atom_site_fract_y
_atom_site_fract_z
Tb1 Tb 0.0000 0.0000 0.0000
Gd1 Gd 0.0000 0.0000 0.1790
Ta1 Ta 0.0000 0.0000 0.3998
N1 N 0.0000 0.0000 0.2978
N2 N 0.0000 0.5000 0.0825
```

## Properties
Energy ... -9.3388 eV per atom
M_tot ... 0.03 μB/cell

=====

2.
Computed, not measured: a relaxed Tm8Pt crystal at the GGA-PBE level of DFT.

Structure (CIF):
```
data_Tm8Pt
_cell_length_a 8.9901
_cell_length_b 8.9901
_cell_length_c 3.6130
_cell_angle_alpha 90.00
_cell_angle_beta 90.00
_cell_angle_gamma 120.00
_symmetry_space_group_name_H-M 'P -6 2 m'
_symmetry_Int_Tables_number 189
_symmetry_space_group_name_Hall 'P -6 -2'
loop_
_atom_site_label
_atom_site_type_symbol
_atom_site_fract_x
_atom_site_fract_y
_atom_site_fract_z
Tm1 Tm 0.0000 0.2465 0.0000
Tm2 Tm 0.0000 0.6132 0.5000
Tm3 Tm 0.3333 0.6667 0.0000
Pt1 Pt 0.0000 0.0000 0.5000
```

## Properties
E_form ... -272 kJ/mol of formula units
Energy ... -4.9636 eV per atom
M_tot ... 0.36 μB/cell

=====

3.
Computed, not measured: a relaxed NaTlNi2 crystal at the GGA-PBE level of DFT.

Structure (CIF):
```
data_NaTlNi2
_cell_length_a 6.3304
_cell_length_b 6.3304
_cell_length_c 6.3304
_cell_angle_alpha 90.00
_cell_angle_beta 90.00
_cell_angle_gamma 90.00
_symmetry_space_group_name_H-M 'F -4 3 m'
_symmetry_Int_Tables_number 216
_symmetry_space_group_name_Hall 'F -4 2 3'
loop_
_atom_site_label
_atom_site_type_symbol
_atom_site_fract_x
_atom_site_fract_y
_atom_site_fract_z
Na1 Na 0.0000 0.0000 0.0000
Tl1 Tl 0.2500 0.2500 0.7500
Ni1 Ni 0.0000 0.0000 0.5000
Ni2 Ni 0.2500 0.2500 0.2500
```

## Properties
Energy ... -3.3066 eV per atom
M_tot ... 0.00 μB/cell